Entry 1:
# Ga3SnPd3

Ga3SnPd3 after structural relaxation (PBE, Alexandria via LeMat-Bulk).

abc: 6.862 6.862 6.862
angles: 90.00 90.00 90.00
Fractional positions:
Ga: 0.000 0.250 0.500
Ga: 0.000 0.750 0.500
Ga: 0.250 0.500 0.000
Ga: 0.500 0.000 0.250
Ga: 0.500 0.000 0.750
Ga: 0.750 0.500 0.000
Sn: 0.000 0.000 0.000
Sn: 0.500 0.500 0.500
Pd: 0.000 0.500 0.250
Pd: 0.000 0.500 0.750
Pd: 0.250 0.000 0.500
Pd: 0.500 0.250 0.000
Pd: 0.500 0.750 0.000
Pd: 0.750 0.000 0.500

Calculated values
Energy of formation in eV per atom: -0.024
Space group: Pm-3n (223)
DFT total energy in eV for the cell shown: -57.666
DOS(E_F) in states/eV/f.u.: 2.37

Entry 2:
# TbPm3Tl4

TbPm3Tl4 after structural relaxation (PBE, Alexandria via LeMat-Bulk).

abc: 10.134 10.134 10.134
angles: 159.02 137.70 47.68
Fractional positions:
Tb: 0.000 0.000 0.000
Pm: 0.217 0.717 0.500
Pm: 0.500 0.500 0.000
Pm: 0.783 0.283 0.500
Tl: 0.160 0.874 0.286
Tl: 0.412 0.126 0.286
Tl: 0.588 0.874 0.714
Tl: 0.840 0.126 0.714

Calculated values
Energy of formation in eV per atom: -0.244
E above lowest polymorph in meV per atom: 140
Space group: Immm (71)
DFT total energy in eV for the cell shown: -30.300
DOS(E_F) in states/eV/f.u.: 6.43